Record 1
An optimized crystal structure of ZrRe2Sb, computed with PBE-GGA.

Geometry as CIF:
```
data_ZrRe2Sb
_cell_length_a 4.6645
_cell_length_b 4.6645
_cell_length_c 4.6645
_cell_angle_alpha 60.00
_cell_angle_beta 60.00
_cell_angle_gamma 60.00
_space_group_name_H-M_alt 'P 1'
_space_group_IT_number 1
_space_group_name_Hall 'P 1'
loop_
_atom_site_label
_atom_site_type_symbol
_atom_site_fract_x
_atom_site_fract_y
_atom_site_fract_z
Sb1 Sb 0.5000 0.5000 0.5000
Re1 Re 0.0000 0.0000 0.0000
Zr1 Zr 0.7500 0.7500 0.7500
Re2 Re 0.2500 0.2500 0.2500
```

Calculated values
E_form (uncorrected) (eV/atom): 0.403

---

Record 2
An optimized crystal structure of Li5AcPt2, computed with PBE-GGA.

Geometry as CIF:
```
data_Li5AcPt2
_cell_length_a 4.0818
_cell_length_b 6.6235
_cell_length_c 6.6235
_cell_angle_alpha 75.56
_cell_angle_beta 72.05
_cell_angle_gamma 72.05
_space_group_name_H-M_alt 'P 1'
_space_group_IT_number 1
_space_group_name_Hall 'P 1'
loop_
_atom_site_label
_atom_site_type_symbol
_atom_site_fract_x
_atom_site_fract_y
_atom_site_fract_z
Pt1 Pt 0.7314 0.7686 0.7686
Pt2 Pt 0.2686 0.2314 0.2314
Li1 Li 0.3284 0.8503 0.4929
Li2 Li 0.6716 0.1497 0.5071
Ac1 Ac 0.0000 0.0000 0.0000
Li3 Li 0.0000 0.5000 0.5000
Li4 Li 0.6716 0.5071 0.1497
Li5 Li 0.3284 0.4929 0.8503
```

Calculated values
Formation energy from the elements (eV/atom): -0.525

---

Record 3
An optimized crystal structure of MgCo2Ru, computed with PBE-GGA.

Geometry as CIF:
```
data_MgCo2Ru
_cell_length_a 4.2128
_cell_length_b 4.2128
_cell_length_c 4.2128
_cell_angle_alpha 60.00
_cell_angle_beta 60.00
_cell_angle_gamma 60.00
_space_group_name_H-M_alt 'P 1'
_space_group_IT_number 1
_space_group_name_Hall 'P 1'
loop_
_atom_site_label
_atom_site_type_symbol
_atom_site_fract_x
_atom_site_fract_y
_atom_site_fract_z
Ru1 Ru 0.7500 0.7500 0.7500
Mg1 Mg 0.5000 0.5000 0.5000
Co1 Co 0.2500 0.2500 0.2500
Co2 Co 0.0000 0.0000 0.0000
```

Calculated values
Formation energy from the elements (eV/atom): 0.211

---

Record 4
An optimized crystal structure of ErLu2Ni, computed with PBE-GGA.

Geometry as CIF:
```
data_ErLu2Ni
_cell_length_a 3.3670
_cell_length_b 3.3670
_cell_length_c 8.4889
_cell_angle_alpha 90.00
_cell_angle_beta 90.00
_cell_angle_gamma 90.00
_space_group_name_H-M_alt 'P 1'
_space_group_IT_number 1
_space_group_name_Hall 'P 1'
loop_
_atom_site_label
_atom_site_type_symbol
_atom_site_fract_x
_atom_site_fract_y
_atom_site_fract_z
Lu1 Lu 0.0000 0.0000 0.1869
Ni1 Ni 0.5000 0.5000 0.0000
Er1 Er 0.5000 0.5000 0.5000
Lu2 Lu 0.0000 0.0000 0.8131
```

Calculated values
Formation energy from the elements (eV/atom): -0.210

---

Record 5
An optimized crystal structure of ThVB4, computed with PBE-GGA.

Geometry as CIF:
```
data_ThVB4
_cell_length_a 6.0826
_cell_length_b 6.0826
_cell_length_c 3.6631
_cell_angle_alpha 90.00
_cell_angle_beta 90.00
_cell_angle_gamma 104.29
_space_group_name_H-M_alt 'P 1'
_space_group_IT_number 1
_space_group_name_Hall 'P 1'
loop_
_atom_site_label
_atom_site_type_symbol
_atom_site_fract_x
_atom_site_fract_y
_atom_site_fract_z
B1 B 0.0894 0.9106 0.5000
B2 B 0.6326 0.6326 0.5000
Th1 Th 0.3019 0.6981 0.0000
B3 B 0.9106 0.0894 0.5000
B4 B 0.6242 0.9329 0.5000
V1 V 0.1628 0.1628 0.0000
B5 B 0.3674 0.3674 0.5000
V2 V 0.8372 0.8372 0.0000
B6 B 0.3758 0.0671 0.5000
B7 B 0.0671 0.3758 0.5000
B8 B 0.9329 0.6242 0.5000
Th2 Th 0.6981 0.3019 0.0000
```

Calculated values
Formation energy from the elements (eV/atom): -0.671

---

Record 6
An optimized crystal structure of Sn2Pb2Cl, computed with PBE-GGA.

Geometry as CIF:
```
data_Sn2Pb2Cl
_cell_length_a 4.3399
_cell_length_b 4.3399
_cell_length_c 8.8494
_cell_angle_alpha 75.81
_cell_angle_beta 75.81
_cell_angle_gamma 90.00
_space_group_name_H-M_alt 'P 1'
_space_group_IT_number 1
_space_group_name_Hall 'P 1'
loop_
_atom_site_label
_atom_site_type_symbol
_atom_site_fract_x
_atom_site_fract_y
_atom_site_fract_z
Cl1 Cl 0.0000 0.0000 0.0000
Pb1 Pb 0.6049 0.6049 0.7901
Sn1 Sn 0.2500 0.7500 0.5000
Sn2 Sn 0.7500 0.2500 0.5000
Pb2 Pb 0.3951 0.3951 0.2099
```

Calculated values
E_form (uncorrected) (eV/atom): -0.225
Energy above the lowest structure with this stoichiometry (eV/atom): 0.0000

---

Record 7
An optimized crystal structure of SmCdGa2Au5, computed with PBE-GGA.

Geometry as CIF:
```
data_SmCdGa2Au5
_cell_length_a 4.8566
_cell_length_b 4.8566
_cell_length_c 7.9848
_cell_angle_alpha 90.00
_cell_angle_beta 90.00
_cell_angle_gamma 90.00
_space_group_name_H-M_alt 'P 1'
_space_group_IT_number 1
_space_group_name_Hall 'P 1'
loop_
_atom_site_label
_atom_site_type_symbol
_atom_site_fract_x
_atom_site_fract_y
_atom_site_fract_z
Au1 Au 0.5000 0.0000 0.7355
Ga1 Ga 0.5000 0.5000 0.8462
Au2 Au 0.5000 0.5000 0.5000
Cd1 Cd 0.0000 0.0000 0.0000
Au3 Au 0.0000 0.5000 0.2645
Ga2 Ga 0.5000 0.5000 0.1538
Au4 Au 0.5000 0.0000 0.2645
Sm1 Sm 0.0000 0.0000 0.5000
Au5 Au 0.0000 0.5000 0.7355
```

Calculated values
Formation energy from the elements (eV/atom): -0.321

---

Record 8
An optimized crystal structure of Li15H9N8, computed with PBE-GGA.

Geometry as CIF:
```
data_Li15H9N8
_cell_length_a 7.1347
_cell_length_b 7.1395
_cell_length_c 10.3449
_cell_angle_alpha 90.00
_cell_angle_beta 90.00
_cell_angle_gamma 91.40
_space_group_name_H-M_alt 'P 1'
_space_group_IT_number 1
_space_group_name_Hall 'P 1'
loop_
_atom_site_label
_atom_site_type_symbol
_atom_site_fract_x
_atom_site_fract_y
_atom_site_fract_z
H1 H 0.4752 0.2450 0.4361
Li1 Li 0.6360 0.2946 0.1057
N1 N 0.8649 0.2551 0.9867
Li2 Li 0.1274 0.2672 0.3846
Li3 Li 0.8787 0.9902 0.6288
Li4 Li 0.4327 0.5049 0.9094
H2 H 0.6544 0.0832 0.2955
Li5 Li 0.1388 0.7220 0.3863
N2 N 0.3983 0.2503 0.9927
Li6 Li 0.1274 0.7672 0.6154
N3 N 0.6365 0.5135 0.2437
N4 N 0.8649 0.7551 0.0133
Li7 Li 0.8787 0.4902 0.3712
Li8 Li 0.3722 0.4955 0.1350
H3 H 0.1114 0.8855 0.7926
N5 N 0.3983 0.7503 0.0073
H4 H 0.6544 0.5832 0.7045
N6 N 0.1092 0.4707 0.7306
H5 H 0.2759 0.2375 0.0462
N7 N 0.1092 0.9707 0.2694
Li9 Li 0.8825 0.7743 0.2490
H6 H 0.6331 0.8906 0.7026
Li10 Li 0.6360 0.7946 0.8943
Li11 Li 0.8690 0.0168 0.1106
N8 N 0.3687 0.7451 0.4959
Li12 Li 0.4327 0.0049 0.0906
H7 H 0.1547 0.0754 0.2069
N9 N 0.6365 0.0135 0.7563
Li13 Li 0.1776 0.2559 0.8526
Li14 Li 0.8934 0.9996 0.8796
Li15 Li 0.6218 0.2345 0.6141
Li16 Li 0.3186 0.4934 0.5926
Li17 Li 0.3807 0.5058 0.3675
Li18 Li 0.1388 0.2220 0.6137
H8 H 0.7741 0.2361 0.4551
H9 H 0.4752 0.7450 0.5639
Li19 Li 0.9222 0.5020 0.5926
Li20 Li 0.6218 0.7345 0.3859
H10 H 0.1547 0.5754 0.7931
Li21 Li 0.9222 0.0020 0.4074
Li22 Li 0.8690 0.5168 0.8894
H11 H 0.7741 0.7361 0.5449
N10 N 0.6390 0.9668 0.2376
H12 H 0.1114 0.3855 0.2074
N11 N 0.1276 0.5120 0.2562
N12 N 0.8910 0.2441 0.5148
Li23 Li 0.8825 0.2743 0.7510
H13 H 0.0016 0.2599 0.0204
H14 H 0.5066 0.9169 0.2632
H15 H 0.2759 0.7375 0.9538
H16 H 0.0016 0.7599 0.9796
Li24 Li 0.3807 0.0058 0.6325
Li25 Li 0.3722 0.9955 0.8650
Li26 Li 0.8934 0.4996 0.1204
Li27 Li 0.1776 0.7559 0.1474
H17 H 0.5066 0.4169 0.7368
H18 H 0.6331 0.3906 0.2974
N13 N 0.8910 0.7441 0.4852
N14 N 0.6390 0.4668 0.7624
N15 N 0.1276 0.0120 0.7438
N16 N 0.3687 0.2451 0.5041
Li28 Li 0.6270 0.2136 0.8878
Li29 Li 0.3186 0.9934 0.4074
Li30 Li 0.6270 0.7136 0.1122
```

Calculated values
E_tot (eV/cell): -282.90

---

Number 1: total magnetic moment 0.3 μB/cell. Number 2: total magnetic moment 0.0 μB/cell. Number 3: total magnetic moment 4.6 μB/cell. Number 4: total magnetic moment 0.0 μB/cell. Number 5: total magnetic moment 0.2 μB/cell. Number 6: total magnetic moment 0.0 μB/cell. Number 7: total magnetic moment 0.0 μB/cell. Number 8: total magnetic moment 0.0 μB/cell.